[1]
Density functional theory data (PBE-GGA) for an optimized crystal structure of Sr2TmThS4.

Unit cell a=4.028 b=7.035 c=7.216 alpha=108.58 beta=90.00 gamma=90.00
Fractional coordinates of all 8 atoms:
S  0.500  0.766  0.772
S  0.000  0.245  0.764
S  0.500  0.234  0.228
S  0.000  0.755  0.236
Tm  0.000  0.000  0.000
Sr  0.000  0.500  0.500
Sr  0.500  0.000  0.500
Th  0.500  0.500  0.000

Properties
DFT total energy = -5.8988 eV/atom
Total moment = 0.0 μB/f.u.

---

[2]
Density functional theory data (PBE-GGA) for an optimized crystal structure of Na2CoAs2Pd.

Unit cell a=5.831 b=5.792 c=7.978 alpha=111.28 beta=111.44 gamma=90.00
Fractional coordinates of all 12 atoms:
Na  0.944  0.672  0.345
Na  0.599  0.828  0.655
Na  0.401  0.172  0.345
Na  0.056  0.328  0.655
Pd  0.000  0.250  0.000
Pd  0.000  0.750  0.000
Co  0.500  0.750  0.000
Co  0.500  0.250  0.000
As  0.383  0.600  0.200
As  0.617  0.400  0.800
As  0.817  0.100  0.200
As  0.183  0.900  0.800

Properties
ΔE_f = -0.388 eV per atom
Total moment = 1.5 μB/f.u.

---

[3]
Density functional theory data (PBE-GGA) for an optimized crystal structure of AcCo3Ge3.

Unit cell a=6.371 b=6.371 c=8.382 alpha=67.66 beta=67.66 gamma=60.00
Fractional coordinates of all 14 atoms:
Ac  0.679  0.679  0.964
Ac  0.321  0.321  0.036
Ge  0.787  0.343  0.698
Ge  0.213  0.657  0.302
Ge  0.172  0.787  0.698
Ge  0.343  0.172  0.698
Ge  0.828  0.213  0.302
Ge  0.657  0.828  0.302
Co  0.785  0.039  0.610
Co  0.434  0.215  0.390
Co  0.215  0.961  0.390
Co  0.566  0.785  0.610
Co  0.039  0.566  0.610
Co  0.961  0.434  0.390

Properties
E above lowest polymorph = 0.088 eV/f.u.
ΔE_f = -0.136 eV per atom
Total moment = 1.6 μB/f.u.

---

[4]
Density functional theory data (PBE-GGA) for an optimized crystal structure of BeHgPt3.

Unit cell a=14.550 b=7.897 c=7.897 alpha=120.00 beta=141.39 gamma=38.61
Fractional coordinates of all 20 atoms:
Pt  0.308  0.049  0.069
Pt  0.901  0.067  0.153
Pt  0.692  0.951  0.931
Pt  0.808  0.431  0.451
Pt  0.099  0.933  0.847
Pt  0.977  0.642  0.904
Pt  0.599  0.653  0.567
Pt  0.401  0.347  0.433
Pt  0.477  0.596  0.858
Pt  0.523  0.404  0.142
Pt  0.023  0.358  0.096
Pt  0.192  0.569  0.549
Be  0.366  0.126  0.478
Be  0.134  0.978  0.626
Be  0.634  0.874  0.522
Be  0.866  0.022  0.374
Hg  0.250  0.395  0.895
Hg  0.250  0.885  0.385
Hg  0.750  0.605  0.105
Hg  0.750  0.115  0.615

Properties
E above lowest polymorph = 0.836 eV/f.u.
ΔE_f = -0.137 eV per atom
Total moment = 0.0 μB/f.u.

---

[5]
Density functional theory data (PBE-GGA) for an optimized crystal structure of YTaAu2.

Unit cell a=7.060 b=5.142 c=3.111 alpha=89.98 beta=63.88 gamma=123.60
Fractional coordinates of all 4 atoms:
Au  0.500  0.000  0.500
Au  0.000  0.000  0.000
Ta  0.000  0.500  0.500
Y  0.500  0.500  0.000

Properties
E above lowest polymorph = 0.159 eV/f.u.
ΔE_f = -0.206 eV per atom
Total moment = 0.0 μB/f.u.

---

[6]
Density functional theory data (PBE-GGA) for an optimized crystal structure of Sc2InCl.

Unit cell a=3.356 b=5.864 c=4.817 alpha=90.00 beta=90.00 gamma=90.00
Fractional coordinates of all 4 atoms:
Sc  0.000  0.000  0.000
Sc  0.500  0.500  0.000
In  0.000  0.500  0.500
Cl  0.500  0.000  0.500

Properties
E above lowest polymorph = 1.564 eV/f.u.
Total moment = 0.0 μB/f.u.

---

[7]
Density functional theory data (PBE-GGA) for an optimized crystal structure of Ta2SbTe.

Unit cell a=5.866 b=5.512 c=3.196 alpha=77.39 beta=82.27 gamma=119.55
Fractional coordinates of all 4 atoms:
Sb  0.500  0.500  0.000
Ta  0.000  0.000  0.000
Ta  0.500  0.000  0.500
Te  0.000  0.500  0.500

Properties
E above lowest polymorph = 2.359 eV/f.u.
Total moment = 0.0 μB/f.u.

---

[8]
Density functional theory data (PBE-GGA) for an optimized crystal structure of BaLi2PmGe2.

Unit cell a=4.664 b=4.664 c=8.098 alpha=90.00 beta=90.00 gamma=120.00
Fractional coordinates of all 6 atoms:
Li  0.333  0.667  0.687
Li  0.667  0.333  0.313
Ge  0.333  0.667  0.302
Ge  0.667  0.333  0.698
Ba  0.000  0.000  0.000
Pm  0.000  0.000  0.500

Properties
ΔE_f = -0.556 eV per atom
Total moment = 0.0 μB/f.u.

---

[9]
Density functional theory data (PBE-GGA) for an optimized crystal structure of HoHf2.

Unit cell a=3.177 b=3.177 c=7.774 alpha=101.79 beta=101.79 gamma=90.00
Fractional coordinates of all 3 atoms:
Hf  0.680  0.680  0.360
Hf  0.320  0.320  0.640
Ho  0.000  0.000  0.000

Properties
E above lowest polymorph = 0.000 eV/f.u.
ΔE_f = 0.117 eV per atom
Total moment = 0.0 μB/f.u.

---

[10]
Density functional theory data (PBE-GGA) for an optimized crystal structure of La2HgAs3Rh4.

Unit cell a=4.166 b=4.166 c=11.270 alpha=90.00 beta=90.00 gamma=90.00
Fractional coordinates of all 10 atoms:
La  0.500  0.000  0.252
La  0.000  0.500  0.748
Rh  0.500  0.500  0.000
Rh  0.000  0.500  0.336
Rh  0.500  0.000  0.664
Rh  0.000  0.000  0.000
As  0.000  0.500  0.124
As  0.500  0.000  0.876
As  0.000  0.000  0.500
Hg  0.500  0.500  0.500

Properties
ΔE_f = -0.810 eV per atom
Total moment = 0.0 μB/f.u.

---

[11]
Density functional theory data (PBE-GGA) for an optimized crystal structure of HfRe3Rh.

Unit cell a=4.680 b=4.680 c=4.680 alpha=90.00 beta=90.00 gamma=90.00
Fractional coordinates of all 5 atoms:
Hf  0.000  0.000  0.000
Re  0.500  0.000  0.000
Re  0.000  0.500  0.000
Re  0.000  0.000  0.500
Rh  0.500  0.500  0.500

Properties
E above lowest polymorph = 4.184 eV/f.u.
ΔE_f = 2.599 eV per atom
Total moment = 0.0 μB/f.u.

---

[12]
Density functional theory data (PBE-GGA) for an optimized crystal structure of AlBrCl3.

Unit cell a=5.826 b=7.619 c=6.172 alpha=89.96 beta=89.99 gamma=89.99
Fractional coordinates of all 10 atoms:
Cl  0.926  0.545  0.450
Cl  0.426  0.808  0.451
Cl  0.926  0.545  0.951
Cl  0.461  0.413  0.201
Cl  0.961  0.940  0.701
Cl  0.426  0.808  0.950
Br  0.898  0.952  0.200
Br  0.398  0.401  0.701
Al  0.668  0.670  0.201
Al  0.168  0.683  0.701

Properties
E above lowest polymorph = 1.160 eV/f.u.
Total moment = 0.2 μB/f.u.